# ScAlI2N | Alexandria via LeMat-Bulk | meta-GGA SCAN | PBEsol geometry
# ΔE_f (raw), eV/f.u.: -0.86
# Size of the total moment, μB per formula unit: 1.00
# E_tot, eV/atom: -21.12
data_ScAlI2N
_symmetry_space_group_name_H-M 'P 4/m m m'
_symmetry_Int_Tables_number 123
_symmetry_space_group_name_Hall '-P 4 2'
_cell_length_a 5.8438
_cell_length_b 5.8438
_cell_length_c 3.9613
_cell_angle_alpha 90.00
_cell_angle_beta 90.00
_cell_angle_gamma 90.00
loop_
_atom_site_label
_atom_site_type_symbol
_atom_site_fract_x
_atom_site_fract_y
_atom_site_fract_z
Sc1 Sc 0.0000 0.0000 0.0000
Al1 Al 0.5000 0.5000 0.5000
I1 I 0.0000 0.5000 0.0000
N1 N 0.0000 0.0000 0.5000


# AlSeI2N | Alexandria via LeMat-Bulk | meta-GGA SCAN | PBEsol geometry
# ΔE_f (raw), eV/f.u.: 4.06
# Size of the total moment, μB per formula unit: 0.00
# E_tot, eV/atom: -21.31
data_AlSeI2N
_symmetry_space_group_name_H-M 'P 4/m m m'
_symmetry_Int_Tables_number 123
_symmetry_space_group_name_Hall '-P 4 2'
_cell_length_a 5.9645
_cell_length_b 5.9645
_cell_length_c 3.6949
_cell_angle_alpha 90.00
_cell_angle_beta 90.00
_cell_angle_gamma 90.00
loop_
_atom_site_label
_atom_site_type_symbol
_atom_site_fract_x
_atom_site_fract_y
_atom_site_fract_z
Al1 Al 0.0000 0.0000 0.0000
Se1 Se 0.5000 0.5000 0.5000
I1 I 0.0000 0.5000 0.5000
N1 N 0.5000 0.5000 0.0000


# AlTeIN2 | Alexandria via LeMat-Bulk | meta-GGA SCAN | PBEsol geometry
# ΔE_f (raw), eV/f.u.: 7.25
# Size of the total moment, μB per formula unit: 0.00
# E_tot, eV/atom: -18.62
data_AlTeIN2
_symmetry_space_group_name_H-M 'P 4/m m m'
_symmetry_Int_Tables_number 123
_symmetry_space_group_name_Hall '-P 4 2'
_cell_length_a 4.0896
_cell_length_b 4.0896
_cell_length_c 6.5654
_cell_angle_alpha 90.00
_cell_angle_beta 90.00
_cell_angle_gamma 90.00
loop_
_atom_site_label
_atom_site_type_symbol
_atom_site_fract_x
_atom_site_fract_y
_atom_site_fract_z
Al1 Al 0.0000 0.0000 0.0000
Te1 Te 0.5000 0.5000 0.5000
I1 I 0.5000 0.5000 0.0000
N1 N 0.0000 0.5000 0.5000